1.
# Co2CuP

Co2CuP after structural relaxation (PBEsol, Alexandria).

POSCAR file:
```
Co2CuP
1.0
-1.711 1.711 3.592
1.711 -1.711 3.592
1.711 1.711 -3.592
Co Cu P
2 1 1
direct
0.000 0.000 0.000
0.750 0.250 0.500
0.500 0.500 0.000
0.250 0.750 0.500
```

Calculated values
distance to the lowest polymorph of the same formula: 0.160 eV per atom
formation enthalpy at 0 K: -0.048 eV/atom
final energy: -25.79 eV for the cell shown

***

2.
# Co2CuP

Co2CuP after structural relaxation (PBEsol, Alexandria).

POSCAR file:
```
Co2CuP
1.0
3.581 0.000 0.000
0.000 3.581 0.000
0.000 0.000 3.201
Co Cu P
2 1 1
direct
0.000 0.500 0.000
0.500 0.000 0.000
0.000 0.000 0.500
0.500 0.500 0.500
```

Calculated values
distance to the lowest polymorph of the same formula: 0.059 eV per atom
formation enthalpy at 0 K: -0.148 eV/atom
final energy: -26.19 eV for the cell shown

***

3.
# Co2CuP

Co2CuP after structural relaxation (PBEsol, Alexandria).

POSCAR file:
```
Co2CuP
1.0
-1.744 1.930 3.066
1.744 -1.930 3.066
1.744 1.930 -3.066
Co Cu P
2 1 1
direct
0.227 0.227 0.000
0.773 0.773 0.000
0.500 0.000 0.500
0.000 0.500 0.500
```

Calculated values
distance to the lowest polymorph of the same formula: 0.000 eV per atom
formation enthalpy at 0 K: -0.208 eV/atom
final energy: -26.43 eV for the cell shown

***

4.
# CoCu2P

CoCu2P after structural relaxation (PBEsol, Alexandria).

POSCAR file:
```
CoCu2P
1.0
2.608 0.000 0.000
0.000 3.974 0.000
-1.128 0.000 4.366
Co Cu P
1 2 1
direct
0.000 0.000 0.000
0.343 0.500 0.740
0.657 0.500 0.260
0.000 0.000 0.500
```

Calculated values
formation enthalpy at 0 K: 0.043 eV/atom
final energy: -22.02 eV for the cell shown

***

5.
# CoCu3P

CoCu3P after structural relaxation (PBEsol, Alexandria).

POSCAR file:
```
CoCu3P
1.0
4.279 0.000 0.000
0.000 4.279 0.000
0.000 0.000 4.279
Co Cu P
1 3 1
direct
0.000 0.000 0.000
0.000 0.000 0.500
0.000 0.500 0.000
0.500 0.000 0.000
0.500 0.500 0.500
```

Calculated values
formation enthalpy at 0 K: 1.245 eV/atom
final energy: -20.30 eV for the cell shown

***

6.
# CoCu2Pb

CoCu2Pb after structural relaxation (PBEsol, Alexandria).

POSCAR file:
```
CoCu2Pb
1.0
3.730 0.000 0.000
0.000 3.730 0.000
0.000 0.000 3.984
Co Cu Pb
1 2 1
direct
0.000 0.000 0.000
0.000 0.500 0.500
0.500 0.000 0.500
0.500 0.500 0.000
```

Calculated values
formation enthalpy at 0 K: 0.337 eV/atom
final energy: -19.05 eV for the cell shown

***

7.
# CoCu2Pb

CoCu2Pb after structural relaxation (PBEsol, Alexandria).

POSCAR file:
```
CoCu2Pb
1.0
-1.841 1.841 4.115
1.841 -1.841 4.115
1.841 1.841 -4.115
Co Cu Pb
1 2 1
direct
0.000 0.000 0.000
0.250 0.750 0.500
0.750 0.250 0.500
0.500 0.500 0.000
```

Calculated values
formation enthalpy at 0 K: 0.382 eV/atom
final energy: -18.88 eV for the cell shown

***

8.
# SrCoCuPd2

SrCoCuPd2 after structural relaxation (PBEsol, Alexandria).

POSCAR file:
```
SrCoCuPd2
1.0
4.703 0.000 0.000
0.000 4.703 0.000
0.000 0.000 4.340
Sr Co Cu Pd
1 1 1 2
direct
0.000 0.000 0.000
0.500 0.500 0.000
0.500 0.500 0.500
0.000 0.500 0.500
0.500 0.000 0.500
```

Calculated values
formation enthalpy at 0 K: 0.340 eV/atom
final energy: -24.13 eV for the cell shown

***

9.
# Pr2Co16Cu

Pr2Co16Cu after structural relaxation (PBEsol, Alexandria).

POSCAR file:
```
Pr2Co16Cu
1.0
4.143 2.392 3.989
-4.143 2.392 3.989
0.000 -4.784 3.989
Pr Co Cu
2 16 1
direct
0.000 0.000 0.000
0.312 0.312 0.312
0.152 0.658 0.658
0.311 0.311 0.807
0.311 0.807 0.311
0.372 0.656 0.939
0.372 0.939 0.656
0.506 0.998 0.998
0.656 0.372 0.939
0.656 0.939 0.372
0.658 0.152 0.658
0.658 0.658 0.152
0.758 0.758 0.758
0.807 0.311 0.311
0.939 0.372 0.656
0.939 0.656 0.372
0.998 0.506 0.998
0.998 0.998 0.506
0.557 0.557 0.557
```

Calculated values
formation enthalpy at 0 K: -0.003 eV/atom
final energy: -138.55 eV for the cell shown

***

10.
# Co6CuPt

Co6CuPt after structural relaxation (PBEsol, Alexandria).

POSCAR file:
```
Co6CuPt
1.0
3.540 -5.024 0.000
3.540 5.024 0.000
0.000 0.000 10.052
Co Cu Pt
24 4 4
direct
0.000 0.000 0.000
0.000 0.000 0.500
0.119 0.373 0.122
0.119 0.373 0.878
0.123 0.368 0.372
0.123 0.368 0.628
0.247 0.753 0.246
0.247 0.753 0.754
0.368 0.123 0.372
0.368 0.123 0.628
0.373 0.119 0.122
0.373 0.119 0.878
0.500 0.500 0.000
0.500 0.500 0.500
0.627 0.881 0.122
0.627 0.881 0.878
0.632 0.877 0.372
0.632 0.877 0.628
0.753 0.247 0.246
0.753 0.247 0.754
0.877 0.632 0.372
0.877 0.632 0.628
0.881 0.627 0.122
0.881 0.627 0.878
0.000 0.000 0.246
0.000 0.000 0.754
0.252 0.748 0.000
0.748 0.252 0.000
0.251 0.749 0.500
0.500 0.500 0.246
0.500 0.500 0.754
0.749 0.251 0.500
```

Calculated values
formation enthalpy at 0 K: 0.046 eV/atom
final energy: -229.41 eV for the cell shown

***

11.
# Co4CuPt

Co4CuPt after structural relaxation (PBEsol, Alexandria).

POSCAR file:
```
Co4CuPt
1.0
0.000 3.268 3.268
3.268 0.000 3.268
3.268 3.268 0.000
Co Cu Pt
4 1 1
direct
0.125 0.125 0.125
0.125 0.125 0.624
0.125 0.624 0.125
0.624 0.125 0.125
0.500 0.500 0.500
0.750 0.750 0.750
```

Calculated values
formation enthalpy at 0 K: 0.147 eV/atom
final energy: -41.36 eV for the cell shown

***

12.
# Co2CuPt

Co2CuPt after structural relaxation (PBEsol, Alexandria).

POSCAR file:
```
Co2CuPt
1.0
2.635 0.000 0.000
0.000 2.635 0.000
0.000 0.000 6.867
Co Cu Pt
2 1 1
direct
0.000 0.000 0.000
0.500 0.500 0.218
0.000 0.000 0.461
0.500 0.500 0.733
```

Calculated values
formation enthalpy at 0 K: 0.021 eV/atom
final energy: -26.69 eV for the cell shown